Below is an optimized crystal structure of MgMn2Fe2P4O16, with properties calculated at the PBE+U level.

- Relative energy among the computed polymorphs: 0 meV/atom
- Final energy: -7.2103 eV per atom
- V: 12.4 Å³/atom
- M_tot: 17.99 Bohr magnetons per cell
- DOS(E_F): 0.046 states/eV per atom

Cell: 5.0674 5.9795 10.1972 Å, 90.00 90.21 90.00°
Closest atoms and distances in Å follow each position.
Space group Pm (No. 6)
Inequivalent atoms, fractional coordinates:
Mg: 0.0000 0.0000 0.0000 [1 per cell]  4 O 1.96-2.09
Mn: 0.1850 0.5000 0.2471 [1 per cell]  4 O 1.92-1.98
Mn: 0.5880 0.0000 0.1840 [1 per cell]  4 O 2.02-2.25
Fe: 0.0111 0.0000 0.6607 [1 per cell]  4 O 2.02-2.16
Fe: 0.5357 0.5000 0.7128 [1 per cell]  6 O 1.95-2.16
P: 0.1461 0.0000 0.3568 [1 per cell]  4 O 1.50-1.60
P: 0.4780 0.0000 0.8405 [1 per cell]  4 O 1.55-1.57
P: 0.7000 0.5000 0.0375 [1 per cell]  4 O 1.53-1.59
P: 0.9779 0.5000 0.5439 [1 per cell]  4 O 1.53-1.57
O: 0.2353 0.0000 0.4974 [1 per cell]  1 P 1.50
O: 0.2743 0.5000 0.5720 [1 per cell]  1 P 1.53
O: 0.2892 0.1963 0.2774 [2 per cell]  1 P 1.60
O: 0.3546 0.2055 0.7704 [2 per cell]  1 P 1.55
O: 0.3863 0.0000 0.9876 [1 per cell]  1 P 1.57
O: 0.4144 0.5000 0.0905 [1 per cell]  1 P 1.55
O: 0.7084 0.5000 0.8875 [1 per cell]  1 P 1.53
O: 0.7837 0.0000 0.8391 [1 per cell]  1 P 1.55
O: 0.8258 0.3018 0.6111 [2 per cell]  1 P 1.57
O: 0.8494 0.2852 0.0907 [2 per cell]  1 P 1.59
O: 0.8527 0.0000 0.3324 [1 per cell]  1 P 1.51
O: 0.9384 0.5000 0.3924 [1 per cell]  1 P 1.56